12
Lattice="-4.114 0.668 1.821 1.931 -6.184 6.633 5.140 8.519 2.809" Properties=species:S:1:pos:R:3 comment="Sr3PrSm2Te6 GGA-PBE optimized geometry" spacegroup="C2/m (12)" formation_energy_uncorrected_ev_per_atom=-1.546 dos_ef_per_ev_atom=0.4449 volume_a3_per_cell=410.9 magnetic_moment_mub_per_fu=0.000 pbc="T T T"
Sr 2.628 -2.215 6.751
Sr -1.091 -2.758 4.227
Te 0.498 -1.485 1.669
Te 0.104 -0.201 5.988
Sr 0.330 5.217 4.512
Pr -2.057 0.334 0.910
Sm 1.304 2.118 7.851
Te 2.854 3.203 5.275
Te 2.460 4.487 9.594
Sm 1.653 0.885 3.411
Te -0.858 2.714 2.746
Te 3.816 0.288 8.516